Here is an optimized crystal structure of MnIrRu from Alexandria via LeMat-Bulk. Energies are from PBE-GGA.

Cell: 4.213 2.699 7.066 Å, 101.11 90.00 90.00°
Atoms (fractional coordinates):
Mn1 0.250 0.551 0.102
Mn2 0.750 0.449 0.898
Ir1 0.250 0.217 0.435
Ir2 0.750 0.783 0.565
Ru1 0.750 0.102 0.204
Ru2 0.250 0.898 0.796

Values from the calculation:
Spin magnetization = 0.00 μB/cell
Energy of formation = -0.054 eV/atom
Symmetry = P2_1/m, No. 11
Excess energy over the best structure of this formula in the dataset = 0 meV/atom

Here is an optimized crystal structure of CrCdN2 from Alexandria via LeMat-Bulk. Energies are from PBE-GGA.

Cell: 4.878 4.878 5.658 Å, 64.47 64.47 90.00°
Atoms (fractional coordinates):
Cr1 0.500 0.500 0.000
Cr2 0.250 0.750 0.500
N1 0.549 0.125 0.250
N2 0.201 0.625 0.250
N3 0.375 0.451 0.750
N4 0.875 0.799 0.750
Cd1 0.000 0.000 0.000
Cd2 0.750 0.250 0.500

Values from the calculation:
Spin magnetization = 3.94 μB/cell
Symmetry = I-42d, No. 122
Raw formation energy = -0.02 eV per atom

Here is an optimized crystal structure of RbNdP2O6 from Alexandria via LeMat-Bulk. Energies are from PBE-GGA.

Cell: 6.953 6.953 10.986 Å, 110.54 110.54 111.34°
Atoms (fractional coordinates):
Rb1 0.165 0.835 0.250
Rb2 0.835 0.165 0.750
Nd1 0.589 0.411 0.250
Nd2 0.411 0.589 0.750
P1 0.296 0.063 0.811
P2 0.937 0.704 0.689
P3 0.704 0.937 0.189
P4 0.063 0.296 0.311
O1 0.971 0.461 0.290
O2 0.539 0.029 0.210
O3 0.029 0.539 0.710
O4 0.461 0.971 0.790
O5 0.207 0.272 0.233
O6 0.728 0.793 0.267
O7 0.793 0.728 0.767
O8 0.272 0.207 0.733
O9 0.214 0.378 0.481
O10 0.622 0.786 0.019
O11 0.786 0.622 0.519
O12 0.378 0.214 0.981

Values from the calculation:
Spin magnetization = 0.00 μB/cell
Symmetry = C2/c, No. 15
Raw formation energy = -2.53 eV per atom

Here is an optimized crystal structure of InCuNi2H from Alexandria via LeMat-Bulk. Energies are from PBE-GGA.

Cell: 3.805 3.805 3.827 Å, 90.00 90.00 90.00°
Atoms (fractional coordinates):
Ni1 0.000 0.500 0.000
Ni2 0.500 0.000 0.000
H1 0.000 0.000 0.000
Cu1 0.000 0.000 0.500
In1 0.500 0.500 0.500

Values from the calculation:
Spin magnetization = 0.00 μB/cell
Symmetry = P4/mmm, No. 123
Excess energy over the best structure of this formula in the dataset = 0 meV/atom

Here is an optimized crystal structure of TaTiAlMo from Alexandria via LeMat-Bulk. Energies are from PBE-GGA.

Cell: 3.285 3.285 6.131 Å, 90.00 90.00 90.00°
Atoms (fractional coordinates):
Ta1 0.000 0.000 0.845
Ti1 0.000 0.000 0.367
Al1 0.500 0.500 0.111
Mo1 0.500 0.500 0.604

Values from the calculation:
Spin magnetization = 0.00 μB/cell
Energy of formation = -0.285 eV/atom
Symmetry = P4mm, No. 99
Excess energy over the best structure of this formula in the dataset = 0 meV/atom

Here is an optimized crystal structure of PRuO from Alexandria via LeMat-Bulk. Energies are from PBE-GGA.

Cell: 3.141 4.058 4.221 Å, 110.37 89.62 113.42°
Atoms (fractional coordinates):
P1 0.964 0.613 0.234
Ru1 0.696 0.069 0.375
O1 0.768 0.216 0.904

Values from the calculation:
Spin magnetization = 0.00 μB/cell
Symmetry = P1, No. 1
Excess energy over the best structure of this formula in the dataset = 397 meV/atom
Raw formation energy = -0.57 eV per atom

Number 1: V 79 Å³ per cell. Number 2: V 107 Å³ per cell. Number 3: V 387 Å³ per cell. Number 4: V 55 Å³ per cell. Number 5: V 66 Å³ per cell. Number 6: V 46 Å³ per cell.